w:
## TcSn2Pt2 (PBE-GGA)

Data for a relaxed structure of TcSn2Pt2.

The structure in POSCAR format:
```
TcSn2Pt2
1.0
-1.870 1.870 6.994
1.870 -1.870 6.994
1.870 1.870 -6.994
Tc Sn Pt
1 2 2
Direct
0.000 0.000 0.000 Tc
0.395 0.395 0.000 Sn
0.605 0.605 0.000 Sn
0.250 0.750 0.500 Pt
0.750 0.250 0.500 Pt
```

- Fermi-level density of states: 0.472 states/eV/atom

x:
## TcSn2Pt2 (PBE-GGA)

Data for a relaxed structure of TcSn2Pt2.

The structure in POSCAR format:
```
TcSn2Pt2
1.0
7.522 0.000 0.000
0.000 7.522 0.000
0.000 0.000 3.274
Tc Sn Pt
2 4 4
Direct
0.000 0.000 0.000 Tc
0.500 0.500 0.000 Tc
0.158 0.342 0.000 Sn
0.342 0.842 0.000 Sn
0.658 0.158 0.000 Sn
0.842 0.658 0.000 Sn
0.141 0.641 0.500 Pt
0.359 0.141 0.500 Pt
0.641 0.859 0.500 Pt
0.859 0.359 0.500 Pt
```

- Fermi-level density of states: 0.598 states/eV/atom

What is the stability order? It is x, w, from most stable to least stable.